Ba2AlSnSe5 | PBE-GGA | optimized geometry

Summary:
- Raw formation energy: -1.27 eV per atom
- Total energy: -80.82 eV per cell
- D(E_F): 8.21 states/eV per cell
- SG: Cmc2_1

abc: 4.2218 9.9606 13.2579
angles: 90.00 90.00 102.24
Closest atoms and distances in Å follow each position.
Fractional coordinates of all 18 atoms:
Se (0.6482, 0.2964, 0.4996)  1 Sn 2.70
Ba (0.8757, 0.7515, 0.8128)  6 Se 3.26-3.35
Se (0.0465, 0.0930, 0.0363)  2 Al 2.52
Ba (0.8866, 0.7732, 0.1820)  8 Se 3.28-3.66
Se (0.3518, 0.7036, 0.9996)  1 Sn 2.70
Se (0.9535, 0.9070, 0.5363)  2 Al 2.52
Se (0.7161, 0.4323, 0.1708)  2 Sn 2.84
Se (0.3174, 0.6347, 0.3772)  1 Al 2.45
Se (0.2839, 0.5677, 0.6708)  2 Sn 2.84
Al (0.5635, 0.1270, 0.9362)  4 Se 2.37-2.52
Al (0.4365, 0.8730, 0.4362)  4 Se 2.37-2.52
Se (0.4984, 0.9968, 0.2819)  1 Al 2.37
Ba (0.1243, 0.2485, 0.3128)  6 Se 3.26-3.35
Sn (0.7855, 0.5710, 0.5274)  5 Se 2.70-2.97
Se (0.5016, 0.0032, 0.7819)  1 Al 2.37
Ba (0.1134, 0.2268, 0.6820)  8 Se 3.28-3.66
Se (0.6826, 0.3653, 0.8772)  1 Al 2.45
Sn (0.2145, 0.4290, 0.0274)  5 Se 2.70-2.97

***

Ca2NpNi9 | PBE-GGA | optimized geometry

Summary:
- Energy relative to the elements: -0.142 eV/atom
- Total energy: -70.69 eV per cell
- D(E_F): 20.03 states/eV per cell
- SG: R-3m

abc: 4.9510 4.9510 8.6489
angles: 73.37 73.37 60.00
Closest atoms and distances in Å follow each position.
Fractional coordinates of all 12 atoms:
Ca (0.8584, 0.8584, 0.4249)  12 Ni 2.89-3.08, 3 Ca 3.11
Ni (0.9177, 0.4206, 0.2412)  7 Ni 2.43-2.55
Ni (0.4206, 0.4206, 0.2412)  7 Ni 2.43-2.55
Ni (0.6673, 0.6673, 0.9981)  6 Ni 2.43-2.44
Np (0.0000, 0.0000, 0.0000)  18 Ni 2.86-3.16
Ni (0.0823, 0.5794, 0.7588)  7 Ni 2.43-2.55
Ni (0.3327, 0.3327, 0.0019)  6 Ni 2.43-2.44
Ni (0.5000, 0.5000, 0.5000)  6 Ni 2.55
Ca (0.1416, 0.1416, 0.5751)  12 Ni 2.89-3.08, 3 Ca 3.11
Ni (0.4206, 0.9177, 0.2412)  7 Ni 2.43-2.55
Ni (0.5794, 0.5794, 0.7588)  7 Ni 2.43-2.55
Ni (0.5794, 0.0823, 0.7588)  7 Ni 2.43-2.55

***

La4Ge2SCl | PBE-GGA | optimized geometry

Summary:
- Raw formation energy: -1.43 eV per atom
- Total energy: -46.38 eV per cell
- D(E_F): 2.26 states/eV per cell
- SG: P2/m

abc: 4.3663 7.3687 7.5674
angles: 70.08 90.00 90.00
Closest atoms and distances in Å follow each position.
Fractional coordinates of all 8 atoms:
Ge (0.0000, 0.0000, 0.0000)  6 La 3.07
La (0.0000, 0.7596, 0.7396)  3 Ge 3.00-3.07, 1 S 3.05, 2 Cl 3.12
La (0.0000, 0.2404, 0.2604)  3 Ge 3.00-3.07, 1 S 3.05, 2 Cl 3.12
Ge (0.5000, 0.0000, 0.5000)  6 La 3.00
S (0.0000, 0.5000, 0.5000)  6 La 3.05
La (0.5000, 0.7536, 0.2553)  3 Ge 3.00-3.07, 2 S 3.05, 1 Cl 3.11
La (0.5000, 0.2464, 0.7447)  3 Ge 3.00-3.07, 2 S 3.05, 1 Cl 3.11
Cl (0.5000, 0.5000, 0.0000)  6 La 3.11-3.12

***

TcBP | PBE-GGA | optimized geometry

Summary:
- Energy relative to the elements: -0.263 eV/atom
- Total energy: -46.49 eV per cell
- D(E_F): 2.24 states/eV per cell
- SG: P2_1/m

abc: 3.0237 5.1542 7.7749
angles: 36.95 90.00 90.00
Closest atoms and distances in Å follow each position.
Fractional coordinates of all 6 atoms:
Tc (0.7500, 0.1184, 0.2567)  3 B 2.29-2.39, 3 P 2.31-2.38
P (0.7500, 0.4439, 0.8165)  1 B 1.92
B (0.7500, 0.3877, 0.6009)  2 B 1.78, 1 P 1.92
B (0.2500, 0.6123, 0.3991)  2 B 1.78, 1 P 1.92
Tc (0.2500, 0.8816, 0.7433)  3 B 2.29-2.39, 3 P 2.31-2.38
P (0.2500, 0.5561, 0.1835)  1 B 1.92

***

ReAgW | PBE-GGA | optimized geometry

Summary:
- Energy relative to the elements: 0.567 eV/atom
- Total energy: -26.55 eV per cell
- D(E_F): 1.96 states/eV per cell
- SG: I4mm

abc: 5.1848 5.1848 5.1848
angles: 143.27 143.27 52.92
Closest atoms and distances in Å follow each position.
Fractional coordinates of all 3 atoms:
W (0.6833, 0.6833, 0.0000)  4 Re 2.62, 4 Ag 2.87
Re (0.3162, 0.3162, 0.0000)  4 W 2.62, 5 Ag 2.87-2.93
Ag (0.0005, 0.0005, 0.0000)  5 W 2.87-2.94, 5 Re 2.87-2.93

***

MgMnCo | PBE-GGA | optimized geometry

Summary:
- Energy relative to the elements: 0.156 eV/atom
- Total energy: -34.81 eV per cell
- D(E_F): 4.04 states/eV per cell
- SG: Cm

abc: 6.8914 5.4486 6.8914
angles: 37.63 35.59 37.63
Closest atoms and distances in Å follow each position.
Fractional coordinates of all 6 atoms:
Co (0.6609, 0.0776, 0.1578)  6 Mn 2.50-2.61, 1 Mg 2.59
Mn (0.3274, 0.6339, 0.8244)  4 Co 2.32-2.50
Co (0.3276, 0.0591, 0.8246)  4 Mn 2.32-2.55, 3 Mg 2.58
Mg (0.9941, 0.1018, 0.4911)  5 Mn 2.64-2.80, 3 Mg 2.70, 3 Co 2.95-2.96
Mg (0.6608, 0.5526, 0.1578)  5 Co 2.58-2.86, 3 Mg 2.70
Mn (0.9940, 0.5873, 0.4910)  6 Co 2.54-2.61, 2 Mg 2.64-2.80

***

BeCr2Cd | PBE-GGA | optimized geometry

Summary:
- Energy relative to the elements: 0.579 eV/atom
- Total energy: -21.57 eV per cell
- D(E_F): 2.41 states/eV per cell
- SG: Cmmm

abc: 4.8575 4.8575 2.5503
angles: 90.00 90.00 119.49
Closest atoms and distances in Å follow each position.
Fractional coordinates of all 4 atoms:
Cr (0.5000, 0.5000, 0.0000)  4 Cr 2.45-2.55
Be (0.5000, 0.0000, 0.5000)  2 Cd 2.45, 2 Be 2.55
Cr (0.0000, 0.0000, 0.0000)  4 Cr 2.45-2.55
Cd (0.0000, 0.5000, 0.5000)  2 Be 2.45, 2 Cd 2.55

***

La2SbTe | PBE-GGA | optimized geometry

Summary:
- Raw formation energy: -1.26 eV per atom
- Total energy: -22.17 eV per cell
- D(E_F): 3.39 states/eV per cell
- SG: Fm-3m

abc: 5.5865 5.5865 5.5865
angles: 60.00 60.00 60.00
Closest atoms and distances in Å follow each position.
Fractional coordinates of all 4 atoms:
Te (0.5000, 0.5000, 0.5000)  8 La 3.42
La (0.2500, 0.2500, 0.2500)  4 Te 3.42, 4 Sb 3.42
La (0.7500, 0.7500, 0.7500)  4 Te 3.42, 4 Sb 3.42
Sb (0.0000, 0.0000, 0.0000)  8 La 3.42

***

Ac4La15Al | PBE-GGA | optimized geometry

Summary:
- Energy relative to the elements: -0.015 eV/atom
- Total energy: -94.39 eV per cell
- D(E_F): 32.25 states/eV per cell
- SG: P4/mmm

abc: 5.3027 5.3027 26.2148
angles: 90.00 90.00 90.00
Closest atoms and distances in Å follow each position.
Fractional coordinates of all 20 atoms:
La (0.5000, 0.5000, 0.0000)  8 La 3.54, 4 Al 3.75
La (0.5000, 0.5000, 0.6027)  4 Ac 3.75, 8 La 3.78-3.80
La (0.0000, 0.5000, 0.0892)  8 La 3.54-3.76, 2 Al 3.54, 2 Ac 3.77
La (0.5000, 0.0000, 0.0892)  2 Al 3.54, 8 La 3.54-3.76, 2 Ac 3.77
La (0.0000, 0.5000, 0.9108)  8 La 3.54-3.76, 2 Al 3.54, 2 Ac 3.77
La (0.5000, 0.0000, 0.2935)  8 La 3.75-3.80, 4 Ac 3.77-3.80
La (0.5000, 0.0000, 0.9108)  2 Al 3.54, 8 La 3.54-3.76, 2 Ac 3.77
La (0.5000, 0.5000, 0.8091)  4 Ac 3.75, 8 La 3.76-3.78
La (0.0000, 0.5000, 0.7065)  8 La 3.75-3.80, 4 Ac 3.77-3.80
Ac (0.0000, 0.0000, 0.6025)  12 La 3.75-3.80
La (0.5000, 0.5000, 0.1909)  4 Ac 3.75, 8 La 3.76-3.78
La (0.0000, 0.5000, 0.5000)  8 La 3.75-3.78, 4 Ac 3.77
Al (0.0000, 0.0000, 0.0000)  12 La 3.54-3.75
La (0.0000, 0.5000, 0.2935)  8 La 3.75-3.80, 4 Ac 3.77-3.80
Ac (0.0000, 0.0000, 0.3975)  12 La 3.75-3.80
La (0.5000, 0.5000, 0.3973)  4 Ac 3.75, 8 La 3.78-3.80
Ac (0.0000, 0.0000, 0.8087)  12 La 3.75-3.77
La (0.5000, 0.0000, 0.7065)  8 La 3.75-3.80, 4 Ac 3.77-3.80
La (0.5000, 0.0000, 0.5000)  8 La 3.75-3.78, 4 Ac 3.77
Ac (0.0000, 0.0000, 0.1913)  12 La 3.75-3.77

***

HfOsS2Cl | PBE-GGA | optimized geometry

Summary:
- Raw formation energy: 0.49 eV per atom
- Total energy: -28.85 eV per cell
- D(E_F): 5.41 states/eV per cell
- SG: P4/mmm

abc: 4.6226 4.6226 4.6087
angles: 90.00 90.00 90.00
Closest atoms and distances in Å follow each position.
Fractional coordinates of all 5 atoms:
S (0.0000, 0.5000, 0.0000)  2 Os 2.31
Cl (0.0000, 0.0000, 0.5000)  2 Os 2.30
Os (0.0000, 0.0000, 0.0000)  2 Cl 2.30, 4 S 2.31
S (0.5000, 0.0000, 0.0000)  2 Os 2.31
Hf (0.5000, 0.5000, 0.5000)  8 S 3.26, 4 Cl 3.27

***

LiTb2Ge3Ir4 | PBE-GGA | optimized geometry

Summary:
- Energy relative to the elements: -0.725 eV/atom
- Total energy: -67.72 eV per cell
- D(E_F): 3.85 states/eV per cell
- SG: P-4m2

abc: 4.1146 4.1146 10.5337
angles: 90.00 90.00 90.00
Closest atoms and distances in Å follow each position.
Fractional coordinates of all 10 atoms:
Ir (0.5000, 0.0000, 0.6386)  3 Ge 2.43-2.52, 2 Li 2.52
Li (0.5000, 0.5000, 0.5000)  4 Ir 2.52
Ir (0.0000, 0.5000, 0.3614)  3 Ge 2.43-2.52, 2 Li 2.52
Tb (0.5000, 0.0000, 0.2504)  8 Ir 3.14-3.34, 6 Ge 3.17-3.34, 2 Li 3.34
Ge (0.0000, 0.5000, 0.1311)  5 Ir 2.43-2.48
Ge (0.0000, 0.0000, 0.5000)  4 Ir 2.52
Tb (0.0000, 0.5000, 0.7496)  8 Ir 3.14-3.34, 6 Ge 3.17-3.34, 2 Li 3.34
Ge (0.5000, 0.0000, 0.8689)  5 Ir 2.43-2.48
Ir (0.5000, 0.5000, 0.0000)  4 Ge 2.48
Ir (0.0000, 0.0000, 0.0000)  4 Ge 2.48

***

NaHgBH6 | PBE-GGA | optimized geometry

Summary:
- Total energy: -29.45 eV per cell
- D(E_F): 0.00 states/eV per cell
- SG: P1

abc: 4.5966 4.8970 6.8003
angles: 106.75 90.91 58.65
Closest atoms and distances in Å follow each position.
Fractional coordinates of all 9 atoms:
H (0.3903, 0.4243, 0.4029)  1 B 1.23
B (0.5289, 0.2358, 0.5079)  4 H 1.23
Na (0.8289, 0.5677, 0.4942)  8 H 2.33-2.49
H (0.8203, 0.0072, 0.4134)  1 B 1.23
H (0.3568, 0.1210, 0.5357)  1 B 1.23
H (0.7378, 0.8034, 0.8719)  1 Hg 1.66
H (0.9475, 0.3603, 0.1067)  1 Hg 1.67
H (0.5489, 0.3970, 0.6782)  1 B 1.23
Hg (0.8404, 0.0833, 0.9891)  2 H 1.66-1.67